VASP calculation (GGA-PBE) on an optimized crystal structure of VIrWN2.

E_form (uncorrected): 1.238 eV per atom
total magnetization: 0.01 μB per formula unit

a = 3.8062 Å, b = 5.4785 Å, c = 3.8062 Å
α = 90.00°, β = 90.00°, γ = 90.00°
With the nearest neighbours (Å) after each atom.
Atoms (fractional coordinates):
V 0.0000 0.5000 0.0000  4 Ir 2.69, 2 W 2.74
Ir 0.5000 0.5000 0.5000  4 V 2.69
N 0.5000 0.0000 0.0000  2 W 1.90
N 0.0000 0.0000 0.5000  2 W 1.90
W 0.0000 0.0000 0.0000  4 N 1.90

***

VASP calculation (GGA-PBE) on an optimized crystal structure of Co2NiHIr.

energy above the most stable polymorph in this dataset: 12 meV per atom
total magnetization: 4.72 μB per formula unit

a = 3.6790 Å, b = 3.6790 Å, c = 3.7440 Å
α = 90.00°, β = 90.00°, γ = 90.00°
With the nearest neighbours (Å) after each atom.
Atoms (fractional coordinates):
Co 0.5000 0.0000 0.0000  2 H 1.84
Co 0.0000 0.5000 0.0000  2 H 1.84
H 0.0000 0.0000 0.0000  4 Co 1.84, 2 Ir 1.87
Ni 0.5000 0.5000 0.5000  4 Ir 2.60, 8 Co 2.62
Ir 0.0000 0.0000 0.5000  2 H 1.87

***

VASP calculation (GGA-PBE) on an optimized crystal structure of Co2CuAs.

energy relative to the elements: 102 meV per atom
total magnetization: 0.43 μB per formula unit

a = 2.9165 Å, b = 2.9165 Å, c = 5.5777 Å
α = 90.00°, β = 90.00°, γ = 90.00°
With the nearest neighbours (Å) after each atom.
Atoms (fractional coordinates):
Co 0.0000 0.0000 0.5123  4 As 2.45, 4 Cu 2.53, 1 Co 2.65
Co 0.0000 0.0000 0.9877  4 As 2.45, 4 Cu 2.53, 1 Co 2.65
Cu 0.5000 0.5000 0.2500  8 Co 2.53, 2 As 2.79
As 0.5000 0.5000 0.7500  8 Co 2.45

***

VASP calculation (GGA-PBE) on an optimized crystal structure of Y3Au5.

energy relative to the elements: -746 meV per atom
energy above the most stable polymorph in this dataset: 66 meV per atom
total magnetization: 0.00 μB per formula unit

a = 6.1405 Å, b = 6.1405 Å, c = 4.9414 Å
α = 90.00°, β = 90.00°, γ = 106.57°
With the nearest neighbours (Å) after each atom.
Atoms (fractional coordinates):
Y 0.5000 0.5000 0.0000  8 Au 2.90-3.07
Y 0.7900 0.2100 0.5000  10 Au 2.98-3.24
Y 0.2100 0.7900 0.5000  10 Au 2.98-3.24
Au 0.2923 0.2923 0.5000  6 Y 2.90-3.24, 1 Au 3.05
Au 0.0000 0.5000 0.0000  2 Au 3.07, 6 Y 3.07-3.10
Au 0.5000 0.0000 0.0000  6 Y 3.07-3.10, 2 Au 3.07
Au 0.0000 0.0000 0.0000  8 Au 3.07-3.27, 4 Y 3.22
Au 0.7077 0.7077 0.5000  6 Y 2.90-3.24, 1 Au 3.05

***

VASP calculation (GGA-PBE) on an optimized crystal structure of HoAlAgHg.

energy relative to the elements: -299 meV per atom
total magnetization: 0.00 μB per formula unit

a = 4.9060 Å, b = 4.9060 Å, c = 4.9060 Å
α = 60.00°, β = 60.00°, γ = 60.00°
With the nearest neighbours (Å) after each atom.
Atoms (fractional coordinates):
Ho 0.7500 0.7500 0.7500  4 Ag 3.00, 4 Hg 3.00
Hg 0.0000 0.0000 0.0000  4 Al 3.00, 4 Ho 3.00
Ag 0.5000 0.5000 0.5000  4 Ho 3.00, 4 Al 3.00
Al 0.2500 0.2500 0.2500  4 Hg 3.00, 4 Ag 3.00

***

VASP calculation (GGA-PBE) on an optimized crystal structure of La2Y4TmSc.

energy relative to the elements: 56 meV per atom
total magnetization: 0.00 μB per formula unit

a = 5.0724 Å, b = 5.0540 Å, c = 11.2800 Å
α = 63.37°, β = 90.00°, γ = 90.00°
With the nearest neighbours (Å) after each atom.
Atoms (fractional coordinates):
Sc 0.0000 0.5000 0.5000  8 Y 3.54-3.55, 4 La 3.58
Y 0.0000 0.2459 0.2542  2 Sc 3.54, 4 La 3.55-3.60, 4 Y 3.58, 2 Tm 3.61
Y 0.0000 0.7541 0.7458  2 Sc 3.54, 4 La 3.55-3.60, 4 Y 3.58, 2 Tm 3.61
Y 0.5000 0.7469 0.2533  4 La 3.55-3.60, 2 Sc 3.55, 4 Y 3.58, 2 Tm 3.59
Y 0.5000 0.2531 0.7467  4 La 3.55-3.60, 2 Sc 3.55, 4 Y 3.58, 2 Tm 3.59
Tm 0.5000 0.5000 0.0000  4 La 3.58, 8 Y 3.59-3.61
La 0.0000 0.0000 0.0000  4 Tm 3.58, 8 Y 3.60
La 0.5000 0.0000 0.5000  8 Y 3.55, 4 Sc 3.58

***

VASP calculation (GGA-PBE) on an optimized crystal structure of CaCrPt2.

energy relative to the elements: -164 meV per atom
energy above the most stable polymorph in this dataset: 252 meV per atom
total magnetization: 3.81 μB per formula unit

a = 7.3763 Å, b = 7.3763 Å, c = 5.9409 Å
α = 51.62°, β = 51.62°, γ = 90.00°
With the nearest neighbours (Å) after each atom.
Atoms (fractional coordinates):
Cr 0.7500 0.2500 0.5000  4 Pt 2.52
Cr 0.0000 0.0000 0.0000  4 Pt 2.52
Pt 0.3750 0.3366 0.7500  2 Cr 2.52
Pt 0.8750 0.9134 0.7500  2 Cr 2.52
Pt 0.6634 0.1250 0.2500  2 Cr 2.52
Pt 0.0866 0.6250 0.2500  2 Cr 2.52
Ca 0.5000 0.5000 0.0000  2 Cr 2.84, 4 Pt 2.90
Ca 0.2500 0.7500 0.5000  2 Cr 2.84, 4 Pt 2.90

***

VASP calculation (GGA-PBE) on an optimized crystal structure of Na16LiIn12.

energy relative to the elements: -120 meV per atom
total magnetization: 0.00 μB per formula unit

a = 10.1909 Å, b = 10.1909 Å, c = 10.1446 Å
α = 109.47°, β = 109.47°, γ = 109.77°
With the nearest neighbours (Å) after each atom.
Atoms (fractional coordinates):
Na 0.9977 0.6856 0.4085  5 In 3.29-3.44, 6 Na 3.31-3.60, 1 Li 3.49
Na 0.9993 0.9993 0.9995  4 Na 3.53-3.60, 12 In 3.56-3.72
Na 0.3572 0.3572 0.3507  1 Li 3.25, 3 Na 3.31-3.60, 6 In 3.44-3.58
Na 0.2789 0.5907 0.5906  5 In 3.30-3.47, 7 Na 3.31-3.61
Na 0.0002 0.4092 0.6884  5 In 3.30-3.50, 7 Na 3.30-3.59
Na 0.3115 0.7195 0.3092  5 In 3.24-3.48, 6 Na 3.33-3.60, 1 Li 3.58
Na 0.6856 0.9977 0.4085  5 In 3.29-3.44, 6 Na 3.31-3.60, 1 Li 3.49
Na 0.4092 0.0002 0.6884  5 In 3.30-3.50, 7 Na 3.30-3.59
Na 0.5907 0.2789 0.5906  5 In 3.30-3.47, 7 Na 3.31-3.61
Na 0.6875 0.4122 0.0048  5 In 3.23-3.48, 6 Na 3.30-3.61, 1 Li 3.48
Na 0.3129 0.3129 0.7209  5 In 3.29-3.45, 7 Na 3.30-3.59
Na 0.6507 0.9961 0.9973  4 Na 3.30-3.53, 6 In 3.45-3.54
Na 0.0001 0.0001 0.6499  4 Na 3.30-3.55, 6 In 3.47-3.52
Na 0.4122 0.6875 0.0048  5 In 3.23-3.48, 6 Na 3.30-3.61, 1 Li 3.48
Na 0.9961 0.6507 0.9973  4 Na 3.30-3.53, 6 In 3.45-3.54
Na 0.7195 0.3115 0.3092  5 In 3.24-3.48, 6 Na 3.33-3.60, 1 Li 3.58
In 0.1814 0.9976 0.3666  3 In 3.06-3.12, 3 Na 3.30-3.35
In 0.3676 0.0000 0.1848  3 In 3.06-3.09, 3 Na 3.29-3.37
In 0.1830 0.8148 0.8152  3 In 3.06-3.12, 3 Na 3.30-3.40
In 0.6328 0.6328 0.8153  3 In 3.09-3.10, 5 Na 3.29-3.45
In 0.8057 0.8057 0.1882  3 In 3.09-3.12, 1 Li 3.13, 4 Na 3.29-3.36
In 0.1916 0.3731 0.0046  3 In 3.03-3.12, 3 Na 3.23-3.37
In 0.3731 0.1916 0.0046  3 In 3.03-3.12, 3 Na 3.23-3.37
In 0.0000 0.3676 0.1848  3 In 3.06-3.09, 3 Na 3.29-3.37
In 0.9976 0.1814 0.3666  3 In 3.06-3.12, 3 Na 3.30-3.35
In 0.8148 0.1830 0.8152  3 In 3.06-3.12, 3 Na 3.30-3.40
In 0.8115 0.6292 0.6209  3 In 3.04-3.10, 1 Li 3.15, 3 Na 3.24-3.37
In 0.6292 0.8115 0.6209  3 In 3.04-3.10, 1 Li 3.15, 3 Na 3.24-3.37
Li 0.6024 0.6024 0.2934  5 In 3.13-3.49, 5 Na 3.25-3.49